Density functional theory data (PBE) for a relaxed Tb2ErCu4Sn4 crystal.

extended XYZ file:
```
11
Lattice="-2.237 3.468 7.371 2.237 -3.468 7.371 2.237 3.468 -7.371" Properties=species:S:1:pos:R:3 pbc="T T T"
Cu 0.000 2.167 4.862
Cu 0.000 2.167 9.880
Cu 2.237 1.302 -2.509
Cu 2.237 1.302 2.509
Er 0.000 0.000 0.000
Sn 0.000 0.000 3.182
Sn 0.000 0.000 11.560
Sn 0.000 1.414 7.371
Sn 2.237 2.054 0.000
Tb 0.000 3.468 1.936
Tb 2.237 0.000 5.436
```

Properties
- Space group: Immm
- Energy: -4.578 eV/atom

---

Density functional theory data (PBE) for a relaxed YBeGaNi crystal.

extended XYZ file:
```
4
Lattice="4.394 -0.350 0.285 2.231 2.485 2.891 1.841 -1.864 3.556" Properties=species:S:1:pos:R:3 pbc="T T T"
Be 6.349 0.204 5.049
Ga 4.233 0.136 3.366
Ni 2.116 0.068 1.683
Y 0.000 0.000 0.000
```

Properties
- Space group: F-43m
- Energy: -4.948 eV/atom
- E above lowest polymorph: 0 meV/atom

---

Density functional theory data (PBE) for a relaxed MgZrCu crystal.

extended XYZ file:
```
3
Lattice="-2.574 -0.756 3.644 -3.591 -2.737 -0.295 0.069 -4.049 2.018" Properties=species:S:1:pos:R:3 pbc="T T T"
Cu -1.524 -1.885 1.342
Mg -4.572 -5.656 4.025
Zr 0.000 0.000 0.000
```

Properties
- Space group: F-43m
- Energy: -3.891 eV/atom

---

Density functional theory data (PBE) for a relaxed HfZrTlCo crystal.

extended XYZ file:
```
4
Lattice="0.000 3.362 3.362 3.362 0.000 3.362 3.362 3.362 0.000" Properties=species:S:1:pos:R:3 pbc="T T T"
Co 5.043 5.043 5.043
Hf 3.362 3.362 3.362
Tl 0.000 0.000 0.000
Zr 1.681 1.681 1.681
```

Properties
- Space group: F-43m
- Energy: -6.690 eV/atom
- E above lowest polymorph: 0 meV/atom

---

Density functional theory data (PBE) for a relaxed DyPd crystal.

extended XYZ file:
```
2
Lattice="-0.177 2.511 -2.689 -2.518 -2.682 0.184 -2.236 2.254 2.252" Properties=species:S:1:pos:R:3 pbc="T T T"
Dy -2.635 2.470 -0.042
Pd -2.297 -0.388 -0.211
```

Properties
- Space group: P-6m2
- Energy: -5.543 eV/atom
- Formation enthalpy at 0 K: -0.65 eV per atom

---

Density functional theory data (PBE) for a relaxed Cs2AgAuO4 crystal.

extended XYZ file:
```
8
Lattice="6.096 0.000 0.000 0.000 2.546 6.183 0.000 -2.546 6.183" Properties=species:S:1:pos:R:3 pbc="T T T"
Ag 0.000 0.000 6.219
Au 3.048 0.000 6.143
Cs 3.048 0.000 2.392
Cs 0.000 0.000 9.977
O 1.484 0.000 4.838
O 4.612 0.000 4.838
O 1.553 0.000 7.528
O 4.543 0.000 7.528
```

Properties
- Space group: Amm2
- Energy: -4.175 eV/atom